Pr2InGa4Cu3 (GGA-PBE, relaxed); energy relative to the elements = -0.45 eV per atom; mass density = 7.4 g/cm³
1.0
4.2669 0.0000 0.0000
0.0000 4.2669 0.0000
0.0000 0.0000 10.6650
Pr In Ga Cu
2 1 4 3
Cartesian
0.0000 2.1335 2.5346
2.1335 0.0000 8.1303
0.0000 0.0000 5.3325
0.0000 0.0000 0.0000
0.0000 2.1335 6.9709
2.1335 0.0000 3.6941
2.1335 2.1335 0.0000
0.0000 2.1335 9.3713
2.1335 0.0000 1.2936
2.1335 2.1335 5.3325